Ca13Al14 | Alexandria | PBE | relaxed; calculated volume = 25.885 A^3/atom; energy relative to the elements = -264 meV/atom
1.0
9.157 0.001 -0.008
3.887 8.291 -0.008
2.546 1.619 9.202
Al Ca
14 13
Cartesian
3.947 4.085 0.750
10.216 8.070 8.436
11.643 5.826 8.436
5.374 1.841 0.750
13.426 8.535 1.440
2.164 1.376 7.747
11.331 7.203 6.034
4.260 2.708 3.153
9.716 6.176 3.958
5.875 3.735 5.229
7.030 6.160 4.593
8.561 3.751 4.593
5.075 6.423 -0.008
7.970 1.869 -0.008
3.976 5.987 3.365
8.482 8.852 5.822
11.614 3.924 5.822
7.109 1.060 3.365
10.383 3.326 2.081
8.173 1.921 7.106
5.208 6.585 7.106
7.418 7.990 2.081
10.697 6.800 0.762
4.893 3.111 8.425
6.989 4.443 1.846
8.602 5.468 7.341
1.273 0.809 4.601